BaLiLa2, single point on PBEsol structure, DFT SCAN; formation energy = 1.1 eV/f.u.; distance to the lowest polymorph of the same formula = 19 meV per atom
1.0
4.6951 0.0000 0.0000
0.0000 4.6951 0.0000
0.0000 0.0000 25.3922
Ba Li La
4 4 8
Cartesian
0.0000 0.0000 0.0000
0.0000 2.3476 6.3481
2.3476 0.0000 19.0442
2.3476 2.3476 12.6961
0.0000 0.0000 12.6961
0.0000 2.3476 19.0442
2.3476 0.0000 6.3481
2.3476 2.3476 0.0000
0.9788 1.1738 15.8701
1.1738 3.3263 22.2182
1.1738 3.7164 9.5221
1.3688 1.1738 3.1740
3.3263 3.5213 3.1740
3.5213 0.9788 9.5221
3.5213 1.3688 22.2182
3.7164 3.5213 15.8701